Entry 1:
This record from the Alexandria database describes crystalline K2CaAs at its relaxed geometry. The functional is GGA-PBE.

```
4
Lattice="4.744 0.000 0.000 0.000 4.744 0.000 0.000 0.000 5.757" Properties=species:S:1:pos:R:3 pbc="T T T"
K 0.000 2.372 0.000
K 2.372 0.000 0.000
Ca 0.000 0.000 2.879
As 2.372 2.372 2.879
```

Results
**Energy of formation from the pure elements**: -0.23 eV/atom
**Fermi-level density of states**: 0.27 states/eV/atom

---

Entry 2:
This record from the Alexandria database describes crystalline K4CaAs at its relaxed geometry. The functional is GGA-PBE.

```
6
Lattice="0.000 5.145 5.145 5.145 0.000 5.145 5.145 5.145 0.000" Properties=species:S:1:pos:R:3 pbc="T T T"
K 1.263 1.263 1.263
K 3.883 3.883 1.263
K 3.883 1.263 3.883
K 1.263 3.883 3.883
Ca 5.145 5.145 5.145
As 7.718 7.718 7.718
```

Results
**Energy of formation from the pure elements**: 0.32 eV/atom
**Fermi-level density of states**: 1.02 states/eV/atom

---

Entry 3:
This record from the Alexandria database describes crystalline K2CaAs at its relaxed geometry. The functional is GGA-PBE.

```
4
Lattice="-2.159 3.043 6.948 2.159 -3.043 6.948 2.159 3.043 -6.948" Properties=species:S:1:pos:R:3 pbc="T T T"
K 0.000 0.000 0.000
K 0.000 3.043 2.203
Ca 0.000 0.000 4.341
As 2.159 0.000 2.568
```

Results
**Energy of formation from the pure elements**: -0.32 eV/atom
**Fermi-level density of states**: 0.52 states/eV/atom

---

Entry 4:
This record from the Alexandria database describes crystalline K2CaAs2 at its relaxed geometry. The functional is GGA-PBE.

```
10
Lattice="7.616 0.000 0.000 0.000 7.616 0.000 0.000 0.000 5.426" Properties=species:S:1:pos:R:3 pbc="T T T"
K 1.234 2.574 0.000
K 2.574 6.382 0.000
K 5.042 1.234 0.000
K 6.382 5.042 0.000
Ca 0.000 0.000 2.713
Ca 3.808 3.808 2.713
As 0.909 4.717 2.713
As 2.898 0.909 2.713
As 4.717 6.706 2.713
As 6.706 2.898 2.713
```

Results
**Excess energy over the best structure of this formula in the dataset**: 0 meV/atom
**Energy of formation from the pure elements**: -0.53 eV/atom
**Fermi-level density of states**: 0.12 states/eV/atom

---

Entry 5:
This record from the Alexandria database describes crystalline K2CaAs at its relaxed geometry. The functional is GGA-PBE.

```
4
Lattice="2.819 -7.734 0.000 2.819 7.734 0.000 0.000 0.000 5.184" Properties=species:S:1:pos:R:3 pbc="T T T"
K 2.819 5.707 0.000
K 2.819 -5.707 0.000
Ca 2.819 0.000 2.592
As 0.000 0.000 2.592
```

Results
**Energy of formation from the pure elements**: -0.32 eV/atom
**Fermi-level density of states**: 0.53 states/eV/atom

---

Entry 6:
This record from the Alexandria database describes crystalline KCaAs4 at its relaxed geometry. The functional is GGA-PBE.

```
6
Lattice="0.000 4.129 4.129 4.129 0.000 4.129 4.129 4.129 0.000" Properties=species:S:1:pos:R:3 pbc="T T T"
K 0.000 0.000 0.000
Ca 2.064 2.064 2.064
As 5.153 3.104 3.104
As 3.104 5.153 3.104
As 3.104 3.104 5.153
As 5.153 5.153 5.153
```

Results
**Energy of formation from the pure elements**: -0.29 eV/atom
**Fermi-level density of states**: 0.92 states/eV/atom